[1]
# BaZrIn2Pt | Alexandria | PBE | optimized geometry
# Energy of formation from the pure elements, eV per atom: 1.34
# V, Å³/atom: 37.62
data_BaZrIn2Pt
_symmetry_space_group_name_H-M 'P 4/m m m'
_symmetry_Int_Tables_number 123
_symmetry_space_group_name_Hall '-P 4 2'
_cell_length_a 5.955
_cell_length_b 5.955
_cell_length_c 5.304
_cell_angle_alpha 90.00
_cell_angle_beta 90.00
_cell_angle_gamma 90.00
loop_
_atom_site_label
_atom_site_type_symbol
_atom_site_fract_x
_atom_site_fract_y
_atom_site_fract_z
Ba1 Ba 0.000 0.000 0.000
Zr1 Zr 0.500 0.500 0.500
In1 In 0.000 0.500 0.000
Pt1 Pt 0.000 0.000 0.500

[2]
# AlPt2Br | Alexandria | PBE | optimized geometry
# ΔE to the lowest computed polymorph, meV per atom: 0
# V, Å³/atom: 18.70
data_AlPt2Br
_symmetry_space_group_name_H-M 'A m m 2'
_symmetry_Int_Tables_number 38
_cell_length_a 2.975
_cell_length_b 3.370
_cell_length_c 14.922
_cell_angle_alpha 90.00
_cell_angle_beta 90.00
_cell_angle_gamma 90.00
loop_
_symmetry_equiv_pos_as_xyz
'x,y,z'
'-x,-y,z'
'-x,y,z'
'x,-y,z'
'x,y+1/2,z+1/2'
'-x,-y+1/2,z+1/2'
'-x,y+1/2,z+1/2'
'x,-y+1/2,z+1/2'
loop_
_atom_site_label
_atom_site_type_symbol
_atom_site_fract_x
_atom_site_fract_y
_atom_site_fract_z
Al1 Al 0.000 0.000 0.000
Pt1 Pt 0.500 0.000 0.410
Pt2 Pt 0.500 0.000 0.590
Br1 Br 0.500 0.000 0.241

[3]
# PaMnPN | Alexandria | PBE | optimized geometry
# E_tot, eV per atom: -9.38
# V, Å³/atom: 14.72
data_PaMnPN
_symmetry_space_group_name_H-M 'P 4/n m m'
_symmetry_Int_Tables_number 129
_cell_length_a 3.789
_cell_length_b 3.789
_cell_length_c 8.199
_cell_angle_alpha 90.00
_cell_angle_beta 90.00
_cell_angle_gamma 90.00
loop_
_symmetry_equiv_pos_as_xyz
'x,y,z'
'-x,-y,-z'
'-y+1/2,x,z'
'y+1/2,-x,-z'
'-x+1/2,-y+1/2,z'
'x+1/2,y+1/2,-z'
'y,-x+1/2,z'
'-y,x+1/2,-z'
'x+1/2,-y,-z'
'-x+1/2,y,z'
'-y,-x,-z'
'y,x,z'
'-x,y+1/2,-z'
'x,-y+1/2,z'
'y+1/2,x+1/2,-z'
'-y+1/2,-x+1/2,z'
loop_
_atom_site_label
_atom_site_type_symbol
_atom_site_fract_x
_atom_site_fract_y
_atom_site_fract_z
Pa1 Pa 0.250 0.250 0.152
Mn1 Mn 0.250 0.750 0.500
P1 P 0.250 0.250 0.660
N1 N 0.250 0.750 0.000

[4]
# PrNd2Tm6 | Alexandria | PBE | optimized geometry
# Energy of formation from the pure elements, eV per atom: 0.07
# ΔE to the lowest computed polymorph, meV per atom: 0
# V, Å³/atom: 31.91
data_PrNd2Tm6
_symmetry_space_group_name_H-M 'P -3'
_symmetry_Int_Tables_number 147
_cell_length_a 9.6967
_cell_length_b 9.6967
_cell_length_c 3.5269
_cell_angle_alpha 90.00
_cell_angle_beta 90.00
_cell_angle_gamma 120.00
loop_
_symmetry_equiv_pos_as_xyz
'x,y,z'
'-x,-y,-z'
'-y,x-y,z'
'y,-x+y,-z'
'-x+y,-x,z'
'x-y,x,-z'
loop_
_atom_site_label
_atom_site_type_symbol
_atom_site_fract_x
_atom_site_fract_y
_atom_site_fract_z
Pr1 Pr 0.0000 0.0000 0.0000
Nd1 Nd 0.3333 0.6667 0.2381
Tm1 Tm 0.0221 0.3514 0.7313

[5]
# SrNdO | Alexandria | PBE | optimized geometry
# ΔE to the lowest computed polymorph, meV per atom: 0
# V, Å³/atom: 33.72
data_SrNdO
_symmetry_space_group_name_H-M 'P 3 m 1'
_symmetry_Int_Tables_number 156
_cell_length_a 3.9763
_cell_length_b 3.9763
_cell_length_c 7.3870
_cell_angle_alpha 90.00
_cell_angle_beta 90.00
_cell_angle_gamma 120.00
loop_
_symmetry_equiv_pos_as_xyz
'x,y,z'
'-y,x-y,z'
'-x+y,-x,z'
'-y,-x,z'
'-x+y,y,z'
'x,x-y,z'
loop_
_atom_site_label
_atom_site_type_symbol
_atom_site_fract_x
_atom_site_fract_y
_atom_site_fract_z
Sr1 Sr 0.0000 0.0000 0.0000
Nd1 Nd 0.6667 0.3333 0.5000
O1 O 0.3333 0.6667 0.5007

[6]
# AcPm2Ag4 | Alexandria | PBE | optimized geometry
# Energy of formation from the pure elements, eV per atom: -0.06
# V, Å³/atom: 29.36
data_AcPm2Ag4
_symmetry_space_group_name_H-M 'I 4/m m m'
_symmetry_Int_Tables_number 139
_symmetry_space_group_name_Hall '-I 4 2'
_cell_length_a 7.885
_cell_length_b 7.885
_cell_length_c 6.612
_cell_angle_alpha 90.00
_cell_angle_beta 90.00
_cell_angle_gamma 90.00
loop_
_atom_site_label
_atom_site_type_symbol
_atom_site_fract_x
_atom_site_fract_y
_atom_site_fract_z
Ac1 Ac 0.000 0.000 0.000
Pm1 Pm 0.000 0.500 0.000
Ag1 Ag 0.250 0.250 0.250

[7]
# SrGe3P4N12 | Alexandria | PBE | optimized geometry
# E_tot, eV per atom: -6.78
# V, Å³/atom: 11.69
data_SrGe3P4N12
_symmetry_space_group_name_H-M 'R 3 2'
_symmetry_Int_Tables_number 155
_symmetry_space_group_name_Hall 'R 3 2"'
_cell_length_a 10.1643
_cell_length_b 10.1643
_cell_length_c 7.8412
_cell_angle_alpha 90.00
_cell_angle_beta 90.00
_cell_angle_gamma 120.00
loop_
_atom_site_label
_atom_site_type_symbol
_atom_site_fract_x
_atom_site_fract_y
_atom_site_fract_z
Sr1 Sr 0.0000 0.0000 0.0000
Ge1 Ge 0.0000 0.5604 0.0000
P1 P 0.0000 0.0000 0.5000
P2 P 0.0000 0.4363 0.5000
N1 N 0.0000 0.5928 0.5000
N2 N 0.0000 0.8442 0.5000
N3 N 0.0450 0.2228 0.1964

[8]
# FeNiGe2 | Alexandria | PBE | optimized geometry
# Energy of formation from the pure elements, eV per atom: 0.20
# V, Å³/atom: 14.87
data_FeNiGe2
_symmetry_space_group_name_H-M 'R -3 m'
_symmetry_Int_Tables_number 166
_symmetry_space_group_name_Hall '-R 3 2"'
_cell_length_a 2.8335
_cell_length_b 2.8335
_cell_length_c 25.6641
_cell_angle_alpha 90.00
_cell_angle_beta 90.00
_cell_angle_gamma 120.00
loop_
_atom_site_label
_atom_site_type_symbol
_atom_site_fract_x
_atom_site_fract_y
_atom_site_fract_z
Fe1 Fe 0.0000 0.0000 0.0000
Ni1 Ni 0.0000 0.0000 0.5000
Ge1 Ge 0.0000 0.0000 0.0941

[9]
# SrCoOs2 | Alexandria | PBE | optimized geometry
# Energy of formation from the pure elements, eV per atom: 0.58
# ΔE to the lowest computed polymorph, meV per atom: 308
# V, Å³/atom: 18.28
data_SrCoOs2
_symmetry_space_group_name_H-M 'P m m 2'
_symmetry_Int_Tables_number 25
_cell_length_a 2.825
_cell_length_b 3.641
_cell_length_c 7.110
_cell_angle_alpha 90.00
_cell_angle_beta 90.00
_cell_angle_gamma 90.00
loop_
_symmetry_equiv_pos_as_xyz
'x,y,z'
'-x,-y,z'
'-x,y,z'
'x,-y,z'
loop_
_atom_site_label
_atom_site_type_symbol
_atom_site_fract_x
_atom_site_fract_y
_atom_site_fract_z
Sr1 Sr 0.000 0.000 0.000
Co1 Co 0.500 0.500 0.312
Os1 Os 0.000 0.000 0.494
Os2 Os 0.500 0.500 0.663

[10]
# Pm3Y8Pu | Alexandria | PBE | optimized geometry
# Energy of formation from the pure elements, eV per atom: 0.58
# V, Å³/atom: 36.21
data_Pm3Y8Pu
_symmetry_space_group_name_H-M 'I -4 2 m'
_symmetry_Int_Tables_number 121
_symmetry_space_group_name_Hall 'I -4 2'
_cell_length_a 8.708
_cell_length_b 8.708
_cell_length_c 11.461
_cell_angle_alpha 90.00
_cell_angle_beta 90.00
_cell_angle_gamma 90.00
loop_
_atom_site_label
_atom_site_type_symbol
_atom_site_fract_x
_atom_site_fract_y
_atom_site_fract_z
Pm1 Pm 0.000 0.000 0.000
Pm2 Pm 0.000 0.500 0.250
Y1 Y 0.126 0.126 0.266
Y2 Y 0.231 0.231 0.530
Pu1 Pu 0.000 0.000 0.500

[11]
# Ac4Cd5Rh2 | Alexandria | PBE | optimized geometry
# Energy of formation from the pure elements, eV per atom: -0.43
# V, Å³/atom: 29.45
data_Ac4Cd5Rh2
_symmetry_space_group_name_H-M 'P 1 2/m 1'
_symmetry_Int_Tables_number 10
_cell_length_a 7.964
_cell_length_b 4.066
_cell_length_c 10.036
_cell_angle_alpha 90.00
_cell_angle_beta 94.53
_cell_angle_gamma 90.00
loop_
_symmetry_equiv_pos_as_xyz
'x,y,z'
'-x,-y,-z'
'-x,y,-z'
'x,-y,z'
loop_
_atom_site_label
_atom_site_type_symbol
_atom_site_fract_x
_atom_site_fract_y
_atom_site_fract_z
Ac1 Ac 0.170 0.000 0.350
Ac2 Ac 0.225 0.000 0.946
Cd1 Cd 0.192 0.500 0.655
Cd2 Cd 0.450 0.500 0.188
Cd3 Cd 0.500 0.500 0.500
Rh1 Rh 0.071 0.500 0.144

[12]
# MgAgP | Alexandria | PBE | optimized geometry
# Energy of formation from the pure elements, eV per atom: -0.24
# V, Å³/atom: 20.37
data_MgAgP
_symmetry_space_group_name_H-M 'P 3 m 1'
_symmetry_Int_Tables_number 156
_cell_length_a 4.3878
_cell_length_b 4.3878
_cell_length_c 7.3280
_cell_angle_alpha 90.00
_cell_angle_beta 90.00
_cell_angle_gamma 120.00
loop_
_symmetry_equiv_pos_as_xyz
'x,y,z'
'-y,x-y,z'
'-x+y,-x,z'
'-y,-x,z'
'-x+y,y,z'
'x,x-y,z'
loop_
_atom_site_label
_atom_site_type_symbol
_atom_site_fract_x
_atom_site_fract_y
_atom_site_fract_z
Mg1 Mg 0.0000 0.0000 0.0000
Mg2 Mg 0.3333 0.6667 0.4996
Ag1 Ag 0.6667 0.3333 0.1859
Ag2 Ag 0.6667 0.3333 0.6842
P1 P 0.0000 0.0000 0.6524
P2 P 0.3333 0.6667 0.1520